P) ## SrBe2Au (PBE)

Data for a geometry-optimized SrBe2Au structure.

Lattice parameters (Å, degrees): 7.4887 4.2812 4.4090 90.18 53.67 124.72
Positions (direct):
1 Sr 0.0000 0.5000 0.5000
2 Au 0.5000 0.5000 0.0000
3 Be 0.0000 0.0000 0.0000
4 Be 0.5000 0.0000 0.5000

Results
The space group is C2/m. The total moment comes out at 0.00 Bohr magnetons per cell. The calculation puts the density of states at the Fermi level at 2.11 states/eV/f.u.

Q) ## SrBe2Au (PBE)

Data for a geometry-optimized SrBe2Au structure.

Lattice parameters (Å, degrees): 3.2237 3.2237 6.9317 90.00 90.00 90.00
Positions (direct):
1 Sr 0.5000 0.5000 0.2500
2 Au 0.5000 0.5000 0.7500
3 Be 0.0000 0.0000 0.9136
4 Be 0.0000 0.0000 0.5864

Results
The space group is P4/mmm. The total moment comes out at 0.00 Bohr magnetons per cell. The calculation puts the density of states at the Fermi level at 2.04 states/eV/f.u.

Q) comes first in stability; the runner-up is 360 meV per atom higher.

P) ## SrBe2Au (PBE)

Data for a geometry-optimized SrBe2Au structure.

Lattice parameters (Å, degrees): 3.1244 3.1260 7.2212 90.00 90.00 90.00
Positions (direct):
1 Sr 0.0000 0.0000 0.4900
2 Au 0.5000 0.5000 0.8362
3 Be 0.0000 0.0000 0.0054
4 Be 0.5000 0.5000 0.1684

Results
The space group is P4mm. The total moment comes out at 0.00 Bohr magnetons per cell. The calculation puts the density of states at the Fermi level at 2.47 states/eV/f.u.

Q) ## SrBe2Au (PBE)

Data for a geometry-optimized SrBe2Au structure.

Lattice parameters (Å, degrees): 4.2676 4.3544 4.6721 89.99 90.00 90.00
Positions (direct):
1 Sr 0.5000 0.2500 0.2500
2 Au 0.5000 0.7500 0.7500
3 Be 0.0000 0.9953 0.7502
4 Be 0.0000 0.5047 0.7498

Results
The space group is Pmmm. The total moment comes out at 0.00 Bohr magnetons per cell. The calculation puts the density of states at the Fermi level at 2.54 states/eV/f.u.

R) ## SrBe2Au (PBE)

Data for a geometry-optimized SrBe2Au structure.

Lattice parameters (Å, degrees): 4.9135 4.9135 4.9135 129.62 110.47 90.72
Positions (direct):
1 Sr 0.7500 0.2500 0.5000
2 Au 0.2500 0.7500 0.5000
3 Be 0.0922 0.0922 0.0000
4 Be 0.4078 0.4078 0.0000

Results
The space group is Immm. The total moment comes out at 0.00 Bohr magnetons per cell. The calculation puts the density of states at the Fermi level at 2.30 states/eV/f.u.

Q) comes first in stability; the runner-up is 189 meV per atom higher.

P) ## SrBeAu3 (PBE)

Data for a geometry-optimized SrBeAu3 structure.

Lattice parameters (Å, degrees): 5.7964 5.7964 5.7964 90.00 90.00 90.00
Positions (direct):
1 Sr 0.0000 0.0000 0.0000
2 Au 0.0000 0.5000 0.0000
3 Au 0.0000 0.0000 0.5000
4 Au 0.5000 0.0000 0.0000
5 Be 0.5000 0.5000 0.5000

Results
The space group is Pm-3m. The total moment comes out at 0.00 Bohr magnetons per cell. The calculation puts the density of states at the Fermi level at 4.74 states/eV/f.u.

Q) ## SrBeAu3 (PBE)

Data for a geometry-optimized SrBeAu3 structure.

Lattice parameters (Å, degrees): 5.5416 6.4732 6.4731 120.00 90.00 90.00
Positions (direct):
1 Sr 0.7500 0.6667 0.3334
2 Sr 0.2500 0.3333 0.6666
3 Be 0.0000 0.0000 0.0000
4 Be 0.5000 0.0000 0.0000
5 Au 0.7500 0.6419 0.8210
6 Au 0.2500 0.8209 0.6419
7 Au 0.2500 0.3581 0.1790
8 Au 0.7500 0.1791 0.3581
9 Au 0.2500 0.8209 0.1790
10 Au 0.7500 0.1791 0.8210

Results
The space group is P6_3/mmc. The total moment comes out at 0.00 Bohr magnetons per cell. The calculation puts the density of states at the Fermi level at 1.57 states/eV/f.u.

R) ## SrBeAu3 (PBE)

Data for a geometry-optimized SrBeAu3 structure.

Lattice parameters (Å, degrees): 4.6993 4.6993 4.6993 90.00 90.00 90.00
Positions (direct):
1 Sr 0.5000 0.5000 0.5000
2 Au 0.0000 0.5000 0.0000
3 Au 0.0000 0.0000 0.5000
4 Au 0.5000 0.0000 0.0000
5 Be 0.0000 0.0000 0.0000

Results
The space group is Pm-3m. The total moment comes out at 0.00 Bohr magnetons per cell. The calculation puts the density of states at the Fermi level at 1.45 states/eV/f.u.

Q) comes first in stability; the runner-up is 18 meV per atom higher.

P) ## Ta2Be2Au (PBE)

Data for a geometry-optimized Ta2Be2Au structure.

Lattice parameters (Å, degrees): 6.0744 6.0744 3.7384 90.00 90.00 90.00
Positions (direct):
1 Be 0.3747 0.8747 0.0000
2 Be 0.8747 0.6253 0.0000
3 Be 0.6253 0.1253 0.0000
4 Be 0.1253 0.3747 0.0000
5 Au 0.0000 0.0000 0.0000
6 Au 0.5000 0.5000 0.0000
7 Ta 0.1647 0.6647 0.5000
8 Ta 0.6647 0.8353 0.5000
9 Ta 0.8353 0.3353 0.5000
10 Ta 0.3353 0.1647 0.5000

Results
The space group is P4/mbm. The total moment comes out at 0.00 Bohr magnetons per cell. The calculation puts the density of states at the Fermi level at 1.40 states/eV/f.u.

Q) ## Ta2Be2Au (PBE)

Data for a geometry-optimized Ta2Be2Au structure.

Lattice parameters (Å, degrees): 3.5366 3.3321 6.1450 105.73 90.00 90.00
Positions (direct):
1 Ta 0.5000 0.6466 0.2933
2 Ta 0.5000 0.3534 0.7067
3 Be 0.0000 0.2004 0.4008
4 Be 0.0000 0.7996 0.5992
5 Au 0.0000 0.0000 0.0000

Results
The space group is Cmmm. The total moment comes out at 0.00 Bohr magnetons per cell. The calculation puts the density of states at the Fermi level at 1.47 states/eV/f.u.

P) comes first in stability; the runner-up is 36 meV per atom higher.

P) ## TaBeAu (PBE)

Data for a geometry-optimized TaBeAu structure.

Lattice parameters (Å, degrees): 2.9008 5.2704 6.4434 72.57 90.00 73.92
Positions (direct):
1 Be 0.9905 0.9577 0.3484
2 Be 0.6594 0.6217 0.2720
3 Au 0.0022 0.9320 0.9610
4 Au 0.2944 0.3478 0.1050
5 Ta 0.3490 0.2460 0.5749
6 Ta 0.6374 0.6566 0.6843

Results
The space group is P1. The total moment comes out at 0.00 Bohr magnetons per cell. The calculation puts the density of states at the Fermi level at 1.39 states/eV/f.u.

Q) ## TaBeAu (PBE)

Data for a geometry-optimized TaBeAu structure.

Lattice parameters (Å, degrees): 3.8446 3.8446 6.1485 90.00 90.00 90.00
Positions (direct):
1 Be 0.0000 0.0000 0.5000
2 Be 0.5000 0.5000 0.5000
3 Au 0.0000 0.5000 0.7100
4 Au 0.5000 0.0000 0.2900
5 Ta 0.0000 0.5000 0.1509
6 Ta 0.5000 0.0000 0.8491

Results
The space group is P4/nmm. The total moment comes out at 0.00 Bohr magnetons per cell. The calculation puts the density of states at the Fermi level at 1.43 states/eV/f.u.

P) comes first in stability; the runner-up is 42 meV per atom higher.

P) ## TaBe3Au (PBE)

Data for a geometry-optimized TaBe3Au structure.

Lattice parameters (Å, degrees): 4.1905 4.1905 4.1905 90.00 90.00 90.00
Positions (direct):
1 Be 0.0000 0.5000 0.0000
2 Be 0.0000 0.0000 0.5000
3 Be 0.5000 0.0000 0.0000
4 Au 0.0000 0.0000 0.0000
5 Ta 0.5000 0.5000 0.5000

Results
The space group is Pm-3m. The total moment comes out at 0.00 Bohr magnetons per cell. The calculation puts the density of states at the Fermi level at 2.50 states/eV/f.u.

Q) ## TaBe3Au (PBE)

Data for a geometry-optimized TaBe3Au structure.

Lattice parameters (Å, degrees): 4.4036 4.4036 4.4036 90.00 90.00 90.00
Positions (direct):
1 Be 0.0000 0.5000 0.0000
2 Be 0.0000 0.0000 0.5000
3 Be 0.5000 0.0000 0.0000
4 Au 0.5000 0.5000 0.5000
5 Ta 0.0000 0.0000 0.0000

Results
The space group is Pm-3m. The total moment comes out at 0.00 Bohr magnetons per cell. The calculation puts the density of states at the Fermi level at 1.85 states/eV/f.u.

P) comes first in stability; the runner-up is 863 meV per atom higher.

P) ## TaBeAu3 (PBE)

Data for a geometry-optimized TaBeAu3 structure.

Lattice parameters (Å, degrees): 4.3945 4.3945 4.3945 90.00 90.00 90.00
Last column: magnetic moment on the atom in μB.
Positions (direct):
1 Be 0.0000 0.0000 0.0000  -0.02
2 Au 0.0000 0.5000 0.0000  0.00
3 Au 0.0000 0.0000 0.5000  0.01
4 Au 0.5000 0.0000 0.0000  0.04
5 Ta 0.5000 0.5000 0.5000  0.48

Results
The space group is Pm-3m. The total moment comes out at 0.70 Bohr magnetons per cell. The calculation puts the density of states at the Fermi level at 3.90 states/eV/f.u.

Q) ## TaBeAu3 (PBE)

Data for a geometry-optimized TaBeAu3 structure.

Lattice parameters (Å, degrees): 5.1363 5.1363 5.1363 90.00 90.00 90.00
Positions (direct):
1 Be 0.5000 0.5000 0.5000
2 Au 0.0000 0.5000 0.0000
3 Au 0.0000 0.0000 0.5000
4 Au 0.5000 0.0000 0.0000
5 Ta 0.0000 0.0000 0.0000

Results
The space group is Pm-3m. The total moment comes out at 0.00 Bohr magnetons per cell. The calculation puts the density of states at the Fermi level at 3.32 states/eV/f.u.

P) comes first in stability; the runner-up is 981 meV per atom higher.

P) ## Tb2BeAu (PBE)

Data for a geometry-optimized Tb2BeAu structure.

Lattice parameters (Å, degrees): 5.0176 5.0176 5.0176 60.00 60.00 60.00
Positions (direct):
1 Tb 0.2500 0.2500 0.2500
2 Tb 0.7500 0.7500 0.7500
3 Au 0.5000 0.5000 0.5000
4 Be 0.0000 0.0000 0.0000

Results
The space group is Fm-3m. The total moment comes out at 0.00 Bohr magnetons per cell. The calculation puts the density of states at the Fermi level at 2.99 states/eV/f.u.

Q) ## Tb2BeAu (PBE)

Data for a geometry-optimized Tb2BeAu structure.

Lattice parameters (Å, degrees): 3.5461 3.5461 6.9323 90.00 90.00 90.00
Positions (direct):
1 Tb 0.0000 0.0000 0.7638
2 Tb 0.0000 0.0000 0.2362
3 Au 0.5000 0.5000 0.5000
4 Be 0.5000 0.5000 0.0000

Results
The space group is P4/mmm. The total moment comes out at 0.00 Bohr magnetons per cell. The calculation puts the density of states at the Fermi level at 2.75 states/eV/f.u.

Q) comes first in stability; the runner-up is 47 meV per atom higher.

P) ## BeTcAu3 (PBE)

Data for a geometry-optimized BeTcAu3 structure.

Lattice parameters (Å, degrees): 4.4056 4.4056 4.4056 90.00 90.00 90.00
Last column: magnetic moment on the atom in μB.
Positions (direct):
1 Be 0.0000 0.0000 0.0000  -0.03
2 Au 0.0000 0.5000 0.0000  -0.04
3 Au 0.0000 0.0000 0.5000  -0.05
4 Au 0.5000 0.0000 0.0000  0.01
5 Tc 0.5000 0.5000 0.5000  2.51

Results
The space group is Pm-3m. The total moment comes out at 2.58 Bohr magnetons per cell. The calculation puts the density of states at the Fermi level at 5.00 states/eV/f.u.

Q) ## BeTcAu3 (PBE)

Data for a geometry-optimized BeTcAu3 structure.

Lattice parameters (Å, degrees): 5.0619 5.0619 5.0619 90.00 90.00 90.00
Last column: magnetic moment on the atom in μB.
Positions (direct):
1 Be 0.5000 0.5000 0.5000  0.12
2 Au 0.0000 0.5000 0.0000  0.12
3 Au 0.0000 0.0000 0.5000  0.22
4 Au 0.5000 0.0000 0.0000  0.07
5 Tc 0.0000 0.0000 0.0000  1.83

Results
The space group is Pm-3m. The total moment comes out at 2.73 Bohr magnetons per cell. The calculation puts the density of states at the Fermi level at 3.96 states/eV/f.u.

P) comes first in stability; the runner-up is 987 meV per atom higher.

P) ## Be3TcAu (PBE)

Data for a geometry-optimized Be3TcAu structure.

Lattice parameters (Å, degrees): 4.1946 4.1946 4.1946 90.00 90.00 90.00
Last column: magnetic moment on the atom in μB.
Positions (direct):
1 Be 0.0000 0.5000 0.0000  -0.02
2 Be 0.0000 0.0000 0.5000  -0.04
3 Be 0.5000 0.0000 0.0000  -0.02
4 Au 0.0000 0.0000 0.0000  -0.01
5 Tc 0.5000 0.5000 0.5000  1.89

Results
The space group is Pm-3m. The total moment comes out at 1.86 Bohr magnetons per cell. The calculation puts the density of states at the Fermi level at 2.36 states/eV/f.u.

Q) ## Be3TcAu (PBE)

Data for a geometry-optimized Be3TcAu structure.

Lattice parameters (Å, degrees): 4.1503 4.1503 4.1503 90.00 90.00 90.00
Positions (direct):
1 Be 0.0000 0.5000 0.0000
2 Be 0.0000 0.0000 0.5000
3 Be 0.5000 0.0000 0.0000
4 Au 0.5000 0.5000 0.5000
5 Tc 0.0000 0.0000 0.0000

Results
The space group is Pm-3m. The total moment comes out at 0.00 Bohr magnetons per cell. The calculation puts the density of states at the Fermi level at 2.23 states/eV/f.u.

P) comes first in stability; the runner-up is 39 meV per atom higher.

P) ## BeTc3Au (PBE)

Data for a geometry-optimized BeTc3Au structure.

Lattice parameters (Å, degrees): 4.9440 4.9440 4.9440 90.00 90.00 90.00
Last column: magnetic moment on the atom in μB.
Positions (direct):
1 Be 0.5000 0.5000 0.5000  -0.09
2 Au 0.0000 0.0000 0.0000  0.28
3 Tc 0.0000 0.5000 0.0000  2.60
4 Tc 0.0000 0.0000 0.5000  2.98
5 Tc 0.5000 0.0000 0.0000  2.14

Results
The space group is Pm-3m. The total moment comes out at 8.51 Bohr magnetons per cell. The calculation puts the density of states at the Fermi level at 3.51 states/eV/f.u.

Q) ## BeTc3Au (PBE)

Data for a geometry-optimized BeTc3Au structure.

Lattice parameters (Å, degrees): 4.1567 4.1567 4.1567 90.00 90.00 90.00
Positions (direct):
1 Be 0.0000 0.0000 0.0000
2 Au 0.5000 0.5000 0.5000
3 Tc 0.0000 0.5000 0.0000
4 Tc 0.0000 0.0000 0.5000
5 Tc 0.5000 0.0000 0.0000

Results
The space group is Pm-3m. The total moment comes out at 0.00 Bohr magnetons per cell. The calculation puts the density of states at the Fermi level at 6.29 states/eV/f.u.

Q) comes first in stability; the runner-up is 1972 meV per atom higher.

P) ## BeTeAu2 (PBE)

Data for a geometry-optimized BeTeAu2 structure.

Lattice parameters (Å, degrees): 3.9165 3.9165 6.2100 71.50 71.50 59.99
Positions (direct):
1 Be 0.7500 0.7500 0.7500
2 Te 0.2500 0.2500 0.2500
3 Au 0.0282 0.0282 0.9154
4 Au 0.4718 0.4718 0.5846

Results
The space group is C2/m. The total moment comes out at 0.00 Bohr magnetons per cell. The calculation puts the density of states at the Fermi level at 2.02 states/eV/f.u.

Q) ## BeTeAu2 (PBE)

Data for a geometry-optimized BeTeAu2 structure.

Lattice parameters (Å, degrees): 3.9789 3.9789 6.2674 69.51 69.51 60.58
Positions (direct):
1 Be 0.4125 0.4125 0.7662
2 Te 0.2516 0.2516 0.2384
3 Au 0.0293 0.0293 0.9061
4 Au 0.8067 0.8067 0.5893

Results
The space group is Cm. The total moment comes out at 0.00 Bohr magnetons per cell. The calculation puts the density of states at the Fermi level at 1.84 states/eV/f.u.

P) comes first in stability; the runner-up is 12 meV per atom higher.